Density functional theory data (GGA-PBE) for an optimized crystal structure of Ba2Se2O.

Calculated values
* raw formation energy: -1.5279 eV/atom
* spin magnetization: 0.000 μB/f.u.
* E above lowest polymorph: 0.000 eV/f.u.

a b c (Å): 7.546 7.546 5.181
angles (deg): 90.00 90.00 90.00
Fractional positions:
Ba 0.806 0.694 0.000
Ba 0.194 0.306 0.000
Se 0.888 0.388 0.500
O 0.500 0.500 0.000
Ba 0.306 0.806 0.000
O 0.000 0.000 0.000
Se 0.112 0.612 0.500
Ba 0.694 0.194 0.000
Se 0.388 0.112 0.500
Se 0.612 0.888 0.500